Entry from Alexandria via LeMat-Bulk: an optimized crystal structure of PmAlTlHg (PBE).

Unit cell a=7.3672 b=7.3672 c=7.3672 alpha=90.00 beta=90.00 gamma=90.00
Closest atoms and distances in Å follow each position.
Space group F-43m (No. 216)
Asymmetric unit:
Pm (0.0000, 0.0000, 0.0000)  4 Hg 3.19, 4 Tl 3.19
Al (0.0000, 0.0000, 0.5000)  4 Hg 3.19, 4 Tl 3.19
Tl (0.2500, 0.2500, 0.2500)  4 Pm 3.19, 4 Al 3.19
Hg (0.2500, 0.2500, 0.7500)  4 Pm 3.19, 4 Al 3.19

Output
Fermi-level density of states ... 15.607 states/eV/cell
E_form ... -149 meV per atom
Crystal system ... cubic

---

Entry from Alexandria via LeMat-Bulk: an optimized crystal structure of PmYAlHg (PBE).

Unit cell a=7.4686 b=7.4686 c=7.4686 alpha=90.00 beta=90.00 gamma=90.00
Closest atoms and distances in Å follow each position.
Space group F-43m (No. 216)
Asymmetric unit:
Pm (0.0000, 0.0000, 0.0000)  4 Al 3.23, 4 Hg 3.23
Y (0.0000, 0.0000, 0.5000)  4 Hg 3.23, 4 Al 3.23
Al (0.2500, 0.2500, 0.7500)  4 Pm 3.23, 4 Y 3.23
Hg (0.2500, 0.2500, 0.2500)  4 Pm 3.23, 4 Y 3.23

Output
Fermi-level density of states ... 18.301 states/eV/cell
E_form ... -410 meV per atom
Offset from the most stable computed form ... 0.81 kcal/mol of atoms
Crystal system ... cubic

---

Entry from Alexandria via LeMat-Bulk: an optimized crystal structure of PmYAlHg (PBE).

Unit cell a=3.6072 b=3.6072 c=7.8542 alpha=90.00 beta=90.00 gamma=90.00
Closest atoms and distances in Å follow each position.
Space group P4mm (No. 99)
Asymmetric unit:
Pm (0.0000, 0.0000, 0.0000)  4 Al 3.20, 4 Hg 3.34
Y (0.0000, 0.0000, 0.5211)  4 Al 3.14, 4 Hg 3.20
Al (0.5000, 0.5000, 0.7546)  4 Y 3.14, 4 Pm 3.20
Hg (0.5000, 0.5000, 0.2748)  4 Y 3.20, 4 Pm 3.34

Output
Fermi-level density of states ... 2.239 states/eV/cell
E_form ... -446 meV per atom
Offset from the most stable computed form ... 0.00 kcal/mol of atoms
Crystal system ... tetragonal

---

Entry from Alexandria via LeMat-Bulk: an optimized crystal structure of Pm4AlZn2Hg (PBE).

Unit cell a=5.2406 b=5.2406 c=25.9025 alpha=90.00 beta=90.00 gamma=120.00
Closest atoms and distances in Å follow each position.
Space group R-3m (No. 166, hexagonal axes)
Asymmetric unit:
Pm (0.0000, 0.0000, 0.1225)  1 Al 3.17, 4 Zn 3.21-3.35, 3 Hg 3.23
Pm (0.0000, 0.0000, 0.3728)  4 Zn 3.13-3.22, 3 Al 3.19, 1 Hg 3.30
Al (0.0000, 0.0000, 0.0000)  8 Pm 3.17-3.19
Zn (0.0000, 0.0000, 0.2518)  8 Pm 3.13-3.35
Hg (0.0000, 0.0000, 0.5000)  8 Pm 3.23-3.30

Output
Fermi-level density of states ... 26.453 states/eV/cell
E_form ... -360 meV per atom
Crystal system ... trigonal

---

Entry from Alexandria via LeMat-Bulk: an optimized crystal structure of Pm2Al3Zn4Hg (PBE).

Unit cell a=4.2924 b=4.2924 c=10.8309 alpha=90.00 beta=90.00 gamma=90.00
Closest atoms and distances in Å follow each position.
Space group P-4m2 (No. 115)
Asymmetric unit:
Pm (0.0000, 0.5000, 0.2406)  6 Al 3.27-3.54, 8 Zn 3.28-3.38, 2 Hg 3.54
Al (0.0000, 0.5000, 0.8710)  5 Zn 2.45-2.56
Al (0.5000, 0.5000, 0.5000)  4 Zn 2.66
Zn (0.0000, 0.0000, 0.0000)  4 Al 2.56
Zn (0.0000, 0.5000, 0.6452)  3 Al 2.45-2.66, 2 Hg 2.66
Zn (0.5000, 0.5000, 0.0000)  4 Al 2.56
Hg (0.0000, 0.0000, 0.5000)  4 Zn 2.66

Output
Fermi-level density of states ... 5.125 states/eV/cell
E_form ... -361 meV per atom
Crystal system ... tetragonal

---

Entry from Alexandria via LeMat-Bulk: an optimized crystal structure of PmAlZnHg (PBE).

Unit cell a=7.0431 b=7.0431 c=7.0431 alpha=90.00 beta=90.00 gamma=90.00
Closest atoms and distances in Å follow each position.
Space group F-43m (No. 216)
Asymmetric unit:
Pm (0.0000, 0.0000, 0.0000)  4 Hg 3.05, 4 Zn 3.05
Al (0.0000, 0.0000, 0.5000)  4 Zn 3.05, 4 Hg 3.05
Zn (0.2500, 0.2500, 0.2500)  4 Pm 3.05, 4 Al 3.05
Hg (0.2500, 0.2500, 0.7500)  4 Pm 3.05, 4 Al 3.05

Output
Fermi-level density of states ... 7.348 states/eV/cell
E_form ... -271 meV per atom
Crystal system ... cubic